No. 1
Compound: SrTmTc
Source: OQMD
Functional: PBE
Structure: relaxed

a = 4.945 Å, b = 4.945 Å, c = 4.945 Å
α = 60.00°, β = 60.00°, γ = 60.00°
Positions (direct):
Sr 0.000 0.000 0.000
Tm 0.250 0.250 0.250
Tc 0.500 0.500 0.500

Properties
SG: No. 216
Total magnetization, μB/f.u.: 0.99
Uncorrected energy, eV/atom: -4.2933



No. 2
Compound: LaSmAl4Ni2
Source: OQMD
Functional: PBE
Structure: relaxed

a = 6.942 Å, b = 5.820 Å, c = 5.820 Å
α = 40.95°, β = 90.00°, γ = 90.00°
Positions (direct):
La 0.000 0.000 0.000
Sm 0.500 0.893 0.893
Al 0.195 0.278 0.278
Al 0.309 0.616 0.616
Al 0.691 0.616 0.616
Al 0.805 0.278 0.278
Ni 0.000 0.727 0.727
Ni 0.500 0.165 0.165

Properties
SG: No. 38
Total magnetization, μB/f.u.: 0.00
Uncorrected energy, eV/atom: -5.0615



No. 3
Compound: PmPOsO
Source: OQMD
Functional: PBE
Structure: relaxed

a = 4.027 Å, b = 4.027 Å, c = 8.201 Å
α = 90.00°, β = 90.00°, γ = 90.00°
Positions (direct):
Pm 0.250 0.250 0.141
Pm 0.750 0.750 0.859
P 0.250 0.250 0.648
P 0.750 0.750 0.352
Os 0.250 0.750 0.500
Os 0.750 0.250 0.500
O 0.250 0.750 0.000
O 0.750 0.250 0.000

Properties
E above lowest polymorph, meV/atom: 0.0
SG: No. 129
Total magnetization, μB/f.u.: 0.00



No. 4
Compound: ZnPH11C7NO4
Source: OQMD
Functional: PBE
Structure: relaxed

a = 5.067 Å, b = 8.525 Å, c = 11.555 Å
α = 69.91°, β = 78.96°, γ = 84.03°
Positions (direct):
Zn 0.231 0.101 0.105
Zn 0.769 0.899 0.895
P 0.205 0.767 0.060
P 0.795 0.233 0.940
H 0.029 0.655 0.381
H 0.223 0.169 0.758
H 0.237 0.702 0.818
H 0.255 0.512 0.228
H 0.299 0.542 0.457
H 0.304 0.175 0.516
H 0.327 0.481 0.080
H 0.357 0.553 0.661
H 0.407 0.041 0.348
H 0.433 0.421 0.874
H 0.473 0.810 0.250
H 0.527 0.190 0.750
H 0.567 0.579 0.126
H 0.593 0.959 0.652
H 0.643 0.447 0.339
H 0.673 0.519 0.920
H 0.696 0.825 0.484
H 0.701 0.458 0.543
H 0.745 0.488 0.772
H 0.763 0.298 0.182
H 0.777 0.831 0.242
H 0.971 0.345 0.619
C 0.035 0.678 0.559
C 0.084 0.579 0.472
C 0.123 0.725 0.742
C 0.179 0.204 0.444
C 0.191 0.645 0.654
C 0.238 0.131 0.351
C 0.353 0.564 0.130
C 0.647 0.436 0.870
C 0.762 0.869 0.649
C 0.809 0.355 0.346
C 0.821 0.796 0.556
C 0.877 0.275 0.258
C 0.916 0.421 0.528
C 0.965 0.322 0.441
N 0.091 0.167 0.259
N 0.909 0.833 0.741
O 0.077 0.255 0.963
O 0.184 0.859 0.157
O 0.382 0.858 0.935
O 0.389 0.201 0.698
O 0.611 0.799 0.302
O 0.618 0.142 0.065
O 0.816 0.141 0.843
O 0.923 0.745 0.037

Properties
SG: No. 2
Uncorrected energy, eV/atom: -6.0158



- What is the formula in the first record?
  SrTmTc



- What is the formula in the first record?
  SrTmTc